(1)
A relaxed structure of ZrSc2Al. Source: Alexandria, functional GGA-PBEsol.

POSCAR file:
```
ZrSc2Al
1.0
-2.845 -0.929 1.162
1.465 -2.188 1.837
0.656 5.436 5.953
Sc Al Zr
2 1 1
Direct
0.000 0.000 0.731
0.000 0.000 0.269
0.500 0.500 0.500
0.500 0.500 0.000
```

Magnetic moment   0.0 μB/f.u.
VASP energy   -27.360 eV/cell
Formation energy from the elements   -5.58 kcal/mol of atoms
Crystal system   tetragonal



(2)
A relaxed structure of BaZr3Br. Source: Alexandria, functional GGA-PBEsol.

POSCAR file:
```
BaZr3Br
1.0
5.285 0.000 0.000
0.000 5.285 0.000
0.000 0.000 5.285
Br Ba Zr
1 1 3
Direct
0.500 0.500 0.500
0.000 0.000 0.000
0.000 0.500 0.000
0.000 0.000 0.500
0.500 0.000 0.000
```

Magnetic moment   0.0 μB/f.u.
Formation energy from raw total energies   1747.0 meV per atom
VASP energy   -22.554 eV/cell
Crystal system   cubic



(3)
A relaxed structure of LaCu2Re. Source: Alexandria, functional GGA-PBEsol.

POSCAR file:
```
LaCu2Re
1.0
-2.229 -1.709 0.543
1.761 -1.921 1.182
-0.942 3.461 7.029
Cu La Re
2 1 1
Direct
0.000 0.000 0.014
0.500 0.500 0.190
0.000 0.000 0.487
0.500 0.500 0.809
```

Magnetic moment   0.0 μB/f.u.
VASP energy   -25.708 eV/cell
Formation energy from the elements   9.45 kcal/mol of atoms
E above lowest polymorph   0.11 eV per formula unit
Crystal system   tetragonal



(4)
A relaxed structure of AlCd2Te. Source: Alexandria, functional GGA-PBEsol.

POSCAR file:
```
AlCd2Te
1.0
3.263 -0.006 0.000
-0.398 3.238 0.000
0.000 0.000 8.617
Te Al Cd
1 1 2
Direct
0.500 0.500 0.500
0.500 0.500 0.000
0.000 0.000 0.217
0.000 0.000 0.783
```

Magnetic moment   0.0 μB/f.u.
Formation energy from raw total energies   156.1 meV per atom
VASP energy   -9.387 eV/cell
E above lowest polymorph   0.33 eV per formula unit
Crystal system   orthorhombic



(5)
A relaxed structure of Sc2BTe. Source: Alexandria, functional GGA-PBEsol.

POSCAR file:
```
Sc2BTe
1.0
5.876 -0.044 0.000
-2.406 5.361 0.000
-1.735 -2.659 4.945
Sc B Te
4 2 2
Direct
0.805 0.875 0.430
0.445 0.375 0.570
0.125 0.555 0.930
0.625 0.195 0.070
0.500 0.500 0.000
0.750 0.250 0.500
0.000 0.000 0.000
0.250 0.750 0.500
```

Magnetic moment   0.0 μB/f.u.
Formation energy from raw total energies   -384.3 meV per atom
VASP energy   -50.579 eV/cell
Crystal system   tetragonal



(6)
A relaxed structure of Ag2Sb2Te. Source: Alexandria, functional GGA-PBEsol.

POSCAR file:
```
Ag2Sb2Te
1.0
3.876 0.000 0.000
0.000 3.876 0.000
-1.938 -1.938 7.881
Sb Te Ag
2 1 2
Direct
0.387 0.387 0.774
0.613 0.613 0.226
0.000 0.000 0.000
0.250 0.750 0.500
0.750 0.250 0.500
```

Magnetic moment   0.0 μB/f.u.
Formation energy from raw total energies   163.7 meV per atom
VASP energy   -18.444 eV/cell
Crystal system   tetragonal